(1)
A geometry-optimized AgAsRh2 structure. Source: the Alexandria database, functional PBE.

abc: 8.520 8.520 8.520
angles: 19.97 19.97 19.97
Fractional positions:
As 0.750 0.750 0.750
Rh 0.010 0.010 0.010
Rh 0.490 0.490 0.490
Ag 0.250 0.250 0.250

Summary:
VASP energy: -5.604 eV per atom
N(E_F): 3.12 states/eV/cell
ΔE_f: -0.053 eV/atom
SG: R-3m (166)

---

(2)
A geometry-optimized Ag2AsRh structure. Source: the Alexandria database, functional PBE.

abc: 2.820 2.820 8.714
angles: 90.00 90.00 90.00
Site moments in Bohr magnetons follow the coordinates.
Fractional positions:
As 0.500 0.500 0.250  0.00
Rh 0.500 0.500 0.750  0.61
Ag 0.000 0.000 0.987  0.01
Ag 0.000 0.000 0.513  0.01

Summary:
VASP energy: -4.145 eV per atom
N(E_F): 3.54 states/eV/cell
ΔE_f: 0.281 eV/atom
SG: P4/mmm (123)

---

(3)
A geometry-optimized AgAs2Rh2 structure. Source: the Alexandria database, functional PBE.

abc: 4.230 4.230 5.758
angles: 68.45 68.45 90.00
Fractional positions:
As 0.375 0.375 0.249
As 0.625 0.625 0.751
Rh 0.750 0.250 0.500
Rh 0.250 0.750 0.500
Ag 0.000 0.000 0.000

Summary:
VASP energy: -5.596 eV per atom
N(E_F): 2.96 states/eV/cell
ΔE_f: -0.225 eV/atom
SG: I4/mmm (139)
E above lowest polymorph: 0 meV per atom

---

(4)
A geometry-optimized Ag2AsRh structure. Source: the Alexandria database, functional PBE.

abc: 5.340 5.340 5.340
angles: 138.17 138.17 60.64
Fractional positions:
As 0.250 0.750 0.500
Rh 0.750 0.250 0.500
Ag 0.000 0.000 0.000
Ag 0.500 0.500 0.000

Summary:
VASP energy: -4.301 eV per atom
N(E_F): 1.74 states/eV/cell
ΔE_f: 0.125 eV/atom
SG: I4/mmm (139)

---

Q: Among the records above, which one has the highest ΔE_f?
A: number 2